Model w:
# SnAsC2 PBEsol relaxed
data_SnAsC2
_chemical_formula_sum 'Sn4 As4 C8'
_cell_length_a 4.878
_cell_length_b 4.878
_cell_length_c 9.776
_cell_angle_alpha 90.00
_cell_angle_beta 90.00
_cell_angle_gamma 90.00
_symmetry_space_group_name_H-M 'I -4 2 d'
_symmetry_Int_Tables_number 122
_symmetry_space_group_name_Hall 'I -4 2bw'
loop_
_atom_site_label
_atom_site_type_symbol
_atom_site_fract_x
_atom_site_fract_y
_atom_site_fract_z
Sn1 Sn 0.000 0.000 0.000
As1 As 0.000 0.000 0.500
C1 C 0.218 0.250 0.625
# Total moment in μB per formula unit: 0.00
# DOS at the Fermi energy in states/eV/atom: 0.48



Model x:
# SnAsC2 PBEsol relaxed
data_SnAsC2
_chemical_formula_sum 'Sn4 As4 C8'
_cell_length_a 5.899
_cell_length_b 5.899
_cell_length_c 5.899
_cell_angle_alpha 90.00
_cell_angle_beta 90.00
_cell_angle_gamma 90.00
_symmetry_space_group_name_H-M 'F m -3 m'
_symmetry_Int_Tables_number 225
_symmetry_space_group_name_Hall '-F 4 2 3'
loop_
_atom_site_label
_atom_site_type_symbol
_atom_site_fract_x
_atom_site_fract_y
_atom_site_fract_z
Sn1 Sn 0.000 0.000 0.000
As1 As 0.000 0.000 0.500
C1 C 0.250 0.250 0.250
# Total moment in μB per formula unit: 0.00
# DOS at the Fermi energy in states/eV/atom: 0.59



Quick one: most stable of them? model w



Model w:
# Ca3As PBEsol relaxed
data_Ca3As
_chemical_formula_sum 'Ca12 As4'
_cell_length_a 4.628
_cell_length_b 4.628
_cell_length_c 21.585
_cell_angle_alpha 90.00
_cell_angle_beta 90.00
_cell_angle_gamma 90.00
_symmetry_space_group_name_H-M 'I 4/m m m'
_symmetry_Int_Tables_number 139
_symmetry_space_group_name_Hall '-I 4 2'
loop_
_atom_site_label
_atom_site_type_symbol
_atom_site_fract_x
_atom_site_fract_y
_atom_site_fract_z
Ca1 Ca 0.000 0.000 0.120
Ca2 Ca 0.000 0.500 0.000
Ca3 Ca 0.000 0.500 0.250
As1 As 0.000 0.000 0.399
# Total moment in μB per formula unit: 0.00
# DOS at the Fermi energy in states/eV/atom: 0.47



Model x:
# Ca3As PBEsol relaxed
data_Ca3As
_chemical_formula_sum 'Ca6 As2'
_cell_length_a 4.008
_cell_length_b 6.760
_cell_length_c 9.534
_cell_angle_alpha 90.00
_cell_angle_beta 90.00
_cell_angle_gamma 90.00
_symmetry_space_group_name_H-M 'P m m n'
_symmetry_Int_Tables_number 59
loop_
_symmetry_equiv_pos_as_xyz
'x,y,z'
'-x,-y,-z'
'-x+1/2,-y+1/2,z'
'x+1/2,y+1/2,-z'
'x+1/2,-y,-z'
'-x+1/2,y,z'
'-x,y+1/2,-z'
'x,-y+1/2,z'
loop_
_atom_site_label
_atom_site_type_symbol
_atom_site_fract_x
_atom_site_fract_y
_atom_site_fract_z
Ca1 Ca 0.250 0.010 0.171
Ca2 Ca 0.250 0.250 0.545
As1 As 0.250 0.750 0.673
# Total moment in μB per formula unit: 0.52
# DOS at the Fermi energy in states/eV/atom: 0.74



Quick one: most stable of them? model x



Model w:
# Ca2As PBEsol relaxed
data_Ca2As
_chemical_formula_sum 'Ca8 As4'
_cell_length_a 4.493
_cell_length_b 4.493
_cell_length_c 15.707
_cell_angle_alpha 90.00
_cell_angle_beta 90.00
_cell_angle_gamma 90.00
_symmetry_space_group_name_H-M 'I 4/m m m'
_symmetry_Int_Tables_number 139
_symmetry_space_group_name_Hall '-I 4 2'
loop_
_atom_site_label
_atom_site_type_symbol
_atom_site_fract_x
_atom_site_fract_y
_atom_site_fract_z
Ca1 Ca 0.000 0.000 0.179
Ca2 Ca 0.000 0.500 0.000
As1 As 0.000 0.000 0.366
# Total moment in μB per formula unit: 0.00
# DOS at the Fermi energy in states/eV/atom: 0.32



Model x:
# Ca2As PBEsol relaxed
data_Ca2As
_chemical_formula_sum 'Ca8 As4'
_cell_length_a 14.187
_cell_length_b 3.975
_cell_length_c 8.026
_cell_angle_alpha 90.00
_cell_angle_beta 123.09
_cell_angle_gamma 90.00
_symmetry_space_group_name_H-M 'C 1 2/m 1'
_symmetry_Int_Tables_number 12
_symmetry_space_group_name_Hall '-C 2y'
loop_
_atom_site_label
_atom_site_type_symbol
_atom_site_fract_x
_atom_site_fract_y
_atom_site_fract_z
Ca1 Ca 0.106 0.000 0.484
Ca2 Ca 0.165 0.000 0.059
As1 As 0.090 0.500 0.760
# Total moment in μB per formula unit: 0.00
# DOS at the Fermi energy in states/eV/atom: 0.39



Quick one: most stable of them? model w



Model w:
# CaCdAs PBEsol relaxed
data_CaCdAs
_chemical_formula_sum 'Ca4 Cd4 As4'
_cell_length_a 6.797
_cell_length_b 6.797
_cell_length_c 6.797
_cell_angle_alpha 90.00
_cell_angle_beta 90.00
_cell_angle_gamma 90.00
_symmetry_space_group_name_H-M 'F -4 3 m'
_symmetry_Int_Tables_number 216
_symmetry_space_group_name_Hall 'F -4 2 3'
loop_
_atom_site_label
_atom_site_type_symbol
_atom_site_fract_x
_atom_site_fract_y
_atom_site_fract_z
Ca1 Ca 0.000 0.000 0.000
Cd1 Cd 0.250 0.250 0.250
As1 As 0.250 0.250 0.750
# Total moment in μB per formula unit: 0.00
# DOS at the Fermi energy in states/eV/atom: 0.46



Model x:
# CaCdAs PBEsol relaxed
data_CaCdAs
_chemical_formula_sum 'Ca4 Cd4 As4'
_cell_length_a 6.755
_cell_length_b 6.755
_cell_length_c 6.755
_cell_angle_alpha 90.00
_cell_angle_beta 90.00
_cell_angle_gamma 90.00
_symmetry_space_group_name_H-M 'F -4 3 m'
_symmetry_Int_Tables_number 216
_symmetry_space_group_name_Hall 'F -4 2 3'
loop_
_atom_site_label
_atom_site_type_symbol
_atom_site_fract_x
_atom_site_fract_y
_atom_site_fract_z
Ca1 Ca 0.000 0.000 0.000
Cd1 Cd 0.000 0.000 0.500
As1 As 0.250 0.250 0.750
# Total moment in μB per formula unit: 0.00
# DOS at the Fermi energy in states/eV/atom: 0.58



Quick one: most stable of them? model x



Model w:
# Ca2CdAs PBEsol relaxed
data_Ca2CdAs
_chemical_formula_sum 'Ca8 Cd4 As4'
_cell_length_a 7.424
_cell_length_b 7.424
_cell_length_c 7.424
_cell_angle_alpha 90.00
_cell_angle_beta 90.00
_cell_angle_gamma 90.00
_symmetry_space_group_name_H-M 'F -4 3 m'
_symmetry_Int_Tables_number 216
_symmetry_space_group_name_Hall 'F -4 2 3'
loop_
_atom_site_label
_atom_site_type_symbol
_atom_site_fract_x
_atom_site_fract_y
_atom_site_fract_z
Ca1 Ca 0.000 0.000 0.000
Ca2 Ca 0.250 0.250 0.250
Cd1 Cd 0.000 0.000 0.500
As1 As 0.250 0.250 0.750
# Total moment in μB per formula unit: 0.00
# DOS at the Fermi energy in states/eV/atom: 0.61



Model x:
# Ca2CdAs PBEsol relaxed
data_Ca2CdAs
_chemical_formula_sum 'Ca4 Cd2 As2'
_cell_length_a 5.215
_cell_length_b 5.215
_cell_length_c 7.264
_cell_angle_alpha 90.00
_cell_angle_beta 90.00
_cell_angle_gamma 90.00
_symmetry_space_group_name_H-M 'I 4/m m m'
_symmetry_Int_Tables_number 139
_symmetry_space_group_name_Hall '-I 4 2'
loop_
_atom_site_label
_atom_site_type_symbol
_atom_site_fract_x
_atom_site_fract_y
_atom_site_fract_z
Ca1 Ca 0.000 0.500 0.250
Cd1 Cd 0.000 0.000 0.000
As1 As 0.000 0.000 0.500
# Total moment in μB per formula unit: 0.00
# DOS at the Fermi energy in states/eV/atom: 0.70



Quick one: most stable of them? model x



Model w:
# CaCrAs2 PBEsol relaxed
data_CaCrAs2
_chemical_formula_sum 'Ca2 Cr2 As4'
_cell_length_a 10.328
_cell_length_b 3.925
_cell_length_c 4.034
_cell_angle_alpha 90.00
_cell_angle_beta 102.79
_cell_angle_gamma 90.00
_symmetry_space_group_name_H-M 'C 1 m 1'
_symmetry_Int_Tables_number 8
_symmetry_space_group_name_Hall 'C -2y'
loop_
_atom_site_label
_atom_site_type_symbol
_atom_site_fract_x
_atom_site_fract_y
_atom_site_fract_z
Ca1 Ca 0.000 0.000 0.000
Cr1 Cr 0.236 0.500 0.463
As1 As 0.272 0.000 0.001
As2 As 0.483 0.000 0.482
# Total moment in μB per formula unit: 3.61
# DOS at the Fermi energy in states/eV/atom: 0.52



Model x:
# CaCrAs2 PBEsol relaxed
data_CaCrAs2
_chemical_formula_sum 'Ca1 Cr1 As2'
_cell_length_a 4.500
_cell_length_b 4.500
_cell_length_c 3.779
_cell_angle_alpha 90.00
_cell_angle_beta 90.00
_cell_angle_gamma 90.00
_symmetry_space_group_name_H-M 'P 4/m m m'
_symmetry_Int_Tables_number 123
_symmetry_space_group_name_Hall '-P 4 2'
loop_
_atom_site_label
_atom_site_type_symbol
_atom_site_fract_x
_atom_site_fract_y
_atom_site_fract_z
Ca1 Ca 0.000 0.000 0.000
Cr1 Cr 0.500 0.500 0.000
As1 As 0.000 0.500 0.500
# Total moment in μB per formula unit: 4.07
# DOS at the Fermi energy in states/eV/atom: 0.54



Quick one: most stable of them? model w